Entry A
The following is a PBE calculation of a geometry-optimized GeP2RuCl structure, from Alexandria.

POSCAR file:
```
GeP2RuCl
1.0
-2.253 3.245 -2.191
-3.506 -0.546 2.796
1.972 3.502 3.157
Ge P Cl Ru
1 2 1 1
Direct
0.500 0.500 0.500
0.500 0.000 0.000
0.000 0.500 0.000
0.000 0.000 0.500
0.000 0.000 0.000
```

Properties
Magnetic moment in μB/f.u.: 0.00

Entry B
The following is a PBE calculation of a geometry-optimized GeP2RuCl structure, from Alexandria.

POSCAR file:
```
GeP2RuCl
1.0
4.702 0.000 0.000
0.000 4.702 0.000
0.000 0.000 4.695
P Cl Ru Ge
2 1 1 1
Direct
0.000 0.500 0.000
0.500 0.000 0.000
0.000 0.000 0.500
0.500 0.500 0.500
0.000 0.000 0.000
```

Properties
Magnetic moment in μB/f.u.: 2.29

The most stable arrangement is entry A, and the next structure is 0.748 eV/atom less stable.